Record 1
# GGA-PBE DyEr, relaxed
# * total moment: 0.08 Bohr magnetons per cell
# * calculated formation energy: 1.983 eV per atom
# * crystal system: cubic
data_DyEr
_cell_length_a 4.947
_cell_length_b 4.947
_cell_length_c 4.947
_cell_angle_alpha 60.00
_cell_angle_beta 60.00
_cell_angle_gamma 60.00
_symmetry_space_group_name_H-M 'P 1'
_symmetry_Int_Tables_number 1
_symmetry_space_group_name_Hall 'P 1'
loop_
_atom_site_label
_atom_site_type_symbol
_atom_site_fract_x
_atom_site_fract_y
_atom_site_fract_z
_atom_site_occupancy
Dy1 Dy 0.000 0.000 0.000 1
Er1 Er 0.750 0.750 0.750 1

Record 2
# GGA-PBE Al2ZnPb, relaxed
# * final energy: -2.83 eV/atom
# * crystal system: cubic
data_Al2ZnPb
_cell_length_a 4.943
_cell_length_b 4.943
_cell_length_c 4.943
_cell_angle_alpha 60.00
_cell_angle_beta 60.00
_cell_angle_gamma 60.00
_symmetry_space_group_name_H-M 'P 1'
_symmetry_Int_Tables_number 1
_symmetry_space_group_name_Hall 'P 1'
loop_
_atom_site_label
_atom_site_type_symbol
_atom_site_fract_x
_atom_site_fract_y
_atom_site_fract_z
_atom_site_occupancy
Al1 Al 0.000 0.000 0.000 1
Al2 Al 0.250 0.250 0.250 1
Zn1 Zn 0.750 0.750 0.750 1
Pb1 Pb 0.500 0.500 0.500 1

Record 3
# GGA-PBE ZrPa3N6, relaxed
# * total moment: 0.00 Bohr magnetons per cell
# * final energy: -10.09 eV/atom
# * crystal system: orthorhombic
data_ZrPa3N6
_cell_length_a 6.693
_cell_length_b 6.693
_cell_length_c 3.615
_cell_angle_alpha 90.00
_cell_angle_beta 90.00
_cell_angle_gamma 109.46
_symmetry_space_group_name_H-M 'P 1'
_symmetry_Int_Tables_number 1
_symmetry_space_group_name_Hall 'P 1'
loop_
_atom_site_label
_atom_site_type_symbol
_atom_site_fract_x
_atom_site_fract_y
_atom_site_fract_z
_atom_site_occupancy
Zr1 Zr 0.000 0.000 0.000 1
Pa1 Pa 0.000 0.500 0.500 1
Pa2 Pa 0.500 0.000 0.500 1
Pa3 Pa 0.500 0.500 0.000 1
N1 N 0.135 0.865 0.500 1
N2 N 0.163 0.420 0.000 1
N3 N 0.420 0.163 0.000 1
N4 N 0.580 0.837 0.000 1
N5 N 0.837 0.580 0.000 1
N6 N 0.865 0.135 0.500 1

Record 4
# GGA-PBE CdFeSnOs, relaxed
# * total moment: 2.37 Bohr magnetons per cell
# * final energy: -5.61 eV/atom
# * crystal system: cubic
data_CdFeSnOs
_cell_length_a 4.545
_cell_length_b 4.545
_cell_length_c 4.545
_cell_angle_alpha 60.00
_cell_angle_beta 60.00
_cell_angle_gamma 60.00
_symmetry_space_group_name_H-M 'P 1'
_symmetry_Int_Tables_number 1
_symmetry_space_group_name_Hall 'P 1'
loop_
_atom_site_label
_atom_site_type_symbol
_atom_site_fract_x
_atom_site_fract_y
_atom_site_fract_z
_atom_site_occupancy
Cd1 Cd 0.000 0.000 0.000 1
Fe1 Fe 0.750 0.750 0.750 1
Sn1 Sn 0.500 0.500 0.500 1
Os1 Os 0.250 0.250 0.250 1

Record 5
# GGA-PBE LiTaAsO, relaxed
# * total moment: 1.11 Bohr magnetons per cell
# * final energy: -6.96 eV/atom
# * crystal system: tetragonal
data_LiTaAsO
_cell_length_a 3.492
_cell_length_b 3.492
_cell_length_c 8.745
_cell_angle_alpha 90.00
_cell_angle_beta 90.00
_cell_angle_gamma 90.00
_symmetry_space_group_name_H-M 'P 1'
_symmetry_Int_Tables_number 1
_symmetry_space_group_name_Hall 'P 1'
loop_
_atom_site_label
_atom_site_type_symbol
_atom_site_fract_x
_atom_site_fract_y
_atom_site_fract_z
_atom_site_occupancy
Li1 Li 0.250 0.750 0.000 1
Li2 Li 0.750 0.250 0.000 1
Ta1 Ta 0.250 0.250 0.355 1
Ta2 Ta 0.750 0.750 0.645 1
As1 As 0.250 0.250 0.791 1
As2 As 0.750 0.750 0.209 1
O1 O 0.250 0.750 0.500 1
O2 O 0.750 0.250 0.500 1

Record 6
# GGA-PBE Nd3DyEr2NiTe2, relaxed
# * total moment: 0.02 Bohr magnetons per cell
# * final energy: -5.18 eV/atom
# * crystal system: orthorhombic
data_Nd3DyEr2NiTe2
_cell_length_a 4.018
_cell_length_b 8.480
_cell_length_c 8.480
_cell_angle_alpha 120.15
_cell_angle_beta 90.00
_cell_angle_gamma 90.00
_symmetry_space_group_name_H-M 'P 1'
_symmetry_Int_Tables_number 1
_symmetry_space_group_name_Hall 'P 1'
loop_
_atom_site_label
_atom_site_type_symbol
_atom_site_fract_x
_atom_site_fract_y
_atom_site_fract_z
_atom_site_occupancy
Nd1 Nd 0.000 0.000 0.000 1
Nd2 Nd 0.000 0.404 0.809 1
Nd3 Nd 0.000 0.809 0.404 1
Dy1 Dy 0.500 0.640 0.640 1
Er1 Er 0.500 0.170 0.405 1
Er2 Er 0.500 0.405 0.170 1
Ni1 Ni 0.000 0.401 0.401 1
Te1 Te 0.500 0.072 0.738 1
Te2 Te 0.500 0.738 0.072 1

Record 7
# GGA-PBE TbDyCuSi3, relaxed
# * total moment: 0.00 Bohr magnetons per cell
# * final energy: -5.61 eV/atom
# * crystal system: orthorhombic
data_TbDyCuSi3
_cell_length_a 8.019
_cell_length_b 7.989
_cell_length_c 5.695
_cell_angle_alpha 69.44
_cell_angle_beta 68.88
_cell_angle_gamma 41.68
_symmetry_space_group_name_H-M 'P 1'
_symmetry_Int_Tables_number 1
_symmetry_space_group_name_Hall 'P 1'
loop_
_atom_site_label
_atom_site_type_symbol
_atom_site_fract_x
_atom_site_fract_y
_atom_site_fract_z
_atom_site_occupancy
Tb1 Tb 0.250 0.250 0.250 1
Tb2 Tb 0.750 0.750 0.750 1
Dy1 Dy 0.244 0.756 0.244 1
Dy2 Dy 0.756 0.244 0.756 1
Cu1 Cu 0.333 0.333 0.667 1
Cu2 Cu 0.667 0.667 0.333 1
Si1 Si 0.169 0.169 0.831 1
Si2 Si 0.171 0.660 0.829 1
Si3 Si 0.340 0.829 0.660 1
Si4 Si 0.660 0.171 0.340 1
Si5 Si 0.829 0.340 0.171 1
Si6 Si 0.831 0.831 0.169 1

Record 8
# GGA-PBE LaCdInSe3, relaxed
# * total moment: 0.00 Bohr magnetons per cell
# * final energy: -4.19 eV/atom
# * crystal system: monoclinic
data_LaCdInSe3
_cell_length_a 9.315
_cell_length_b 9.315
_cell_length_c 9.470
_cell_angle_alpha 106.76
_cell_angle_beta 106.76
_cell_angle_gamma 27.02
_symmetry_space_group_name_H-M 'P 1'
_symmetry_Int_Tables_number 1
_symmetry_space_group_name_Hall 'P 1'
loop_
_atom_site_label
_atom_site_type_symbol
_atom_site_fract_x
_atom_site_fract_y
_atom_site_fract_z
_atom_site_occupancy
La1 La 0.177 0.177 0.114 1
La2 La 0.823 0.823 0.886 1
Cd1 Cd 0.494 0.494 0.789 1
Cd2 Cd 0.506 0.506 0.211 1
In1 In 0.132 0.132 0.572 1
In2 In 0.868 0.868 0.428 1
Se1 Se 0.000 0.000 0.000 1
Se2 Se 0.336 0.336 0.682 1
Se3 Se 0.342 0.342 0.118 1
Se4 Se 0.500 0.500 0.500 1
Se5 Se 0.658 0.658 0.882 1
Se6 Se 0.664 0.664 0.318 1

Record 9
# GGA-PBE NdOsPb2O6, relaxed
# * total moment: 0.90 Bohr magnetons per cell
# * final energy: -6.83 eV/atom
# * crystal system: triclinic
data_NdOsPb2O6
_cell_length_a 5.188
_cell_length_b 5.279
_cell_length_c 5.881
_cell_angle_alpha 88.80
_cell_angle_beta 88.42
_cell_angle_gamma 73.58
_symmetry_space_group_name_H-M 'P 1'
_symmetry_Int_Tables_number 1
_symmetry_space_group_name_Hall 'P 1'
loop_
_atom_site_label
_atom_site_type_symbol
_atom_site_fract_x
_atom_site_fract_y
_atom_site_fract_z
_atom_site_occupancy
Nd1 Nd 0.000 0.000 0.000 1
Os1 Os 0.500 0.500 0.000 1
Pb1 Pb 0.319 0.313 0.511 1
Pb2 Pb 0.681 0.687 0.489 1
O1 O 0.284 0.698 0.267 1
O2 O 0.286 0.270 0.005 1
O3 O 0.290 0.701 0.734 1
O4 O 0.710 0.299 0.266 1
O5 O 0.714 0.730 0.995 1
O6 O 0.716 0.302 0.733 1

Record 10
# GGA-PBE ScCuNiGe, relaxed
# * total moment: 0.00 Bohr magnetons per cell
# * final energy: -5.44 eV/atom
# * crystal system: cubic
data_ScCuNiGe
_cell_length_a 4.343
_cell_length_b 4.343
_cell_length_c 4.343
_cell_angle_alpha 60.00
_cell_angle_beta 60.00
_cell_angle_gamma 60.00
_symmetry_space_group_name_H-M 'P 1'
_symmetry_Int_Tables_number 1
_symmetry_space_group_name_Hall 'P 1'
loop_
_atom_site_label
_atom_site_type_symbol
_atom_site_fract_x
_atom_site_fract_y
_atom_site_fract_z
_atom_site_occupancy
Sc1 Sc 0.000 0.000 0.000 1
Cu1 Cu 0.750 0.750 0.750 1
Ni1 Ni 0.500 0.500 0.500 1
Ge1 Ge 0.250 0.250 0.250 1

Record 11
# GGA-PBE LiMg4Ag, relaxed
# * final energy: -1.96 eV/atom
# * crystal system: orthorhombic
data_LiMg4Ag
_cell_length_a 4.749
_cell_length_b 5.771
_cell_length_c 5.771
_cell_angle_alpha 131.47
_cell_angle_beta 90.00
_cell_angle_gamma 90.00
_symmetry_space_group_name_H-M 'P 1'
_symmetry_Int_Tables_number 1
_symmetry_space_group_name_Hall 'P 1'
loop_
_atom_site_label
_atom_site_type_symbol
_atom_site_fract_x
_atom_site_fract_y
_atom_site_fract_z
_atom_site_occupancy
Li1 Li 0.000 0.000 0.000 1
Mg1 Mg 0.000 0.343 0.652 1
Mg2 Mg 0.000 0.652 0.343 1
Mg3 Mg 0.500 0.147 0.837 1
Mg4 Mg 0.500 0.837 0.147 1
Ag1 Ag 0.500 0.491 0.491 1